1.
Entry from Alexandria: an optimized crystal structure of K2SiHg (PBE).

```
K2SiHg
1.0
6.403 0.000 0.000
0.000 9.775 0.000
0.000 0.000 4.066
K Si Hg
4 2 2
Direct
0.250 0.250 0.000 K
0.250 0.750 0.000 K
0.750 0.250 0.000 K
0.750 0.750 0.000 K
0.000 0.000 0.500 Si
0.500 0.500 0.500 Si
0.000 0.500 0.500 Hg
0.500 0.000 0.500 Hg
```

## Properties
- Calculated volume: 127 Å³/f.u.
- Energy: -1.73 eV/atom
- Formation energy (no corrections): 0.248 eV per atom
- SG: Cmmm, No. 65
- Crystal system: orthorhombic
- Energy above the most stable polymorph in this dataset: 1.05 eV/f.u.
- Total magnetization: 0.062 μB/atom
- D(E_F): 3.5 states/eV/f.u.



2.
Entry from Alexandria: an optimized crystal structure of ScBeS2Cl (PBE).

```
ScBeS2Cl
1.0
4.971 0.000 0.000
0.000 4.971 0.000
0.000 0.000 4.798
Sc Be S Cl
1 1 2 1
Direct
0.000 0.000 0.000 Sc
0.500 0.500 0.500 Be
0.000 0.500 0.000 S
0.500 0.000 0.000 S
0.000 0.000 0.500 Cl
```

## Properties
- Calculated volume: 119 Å³/f.u.
- Energy: -4.29 eV/atom
- Formation energy (no corrections): -0.262 eV per atom
- SG: P4/mmm, No. 123
- Crystal system: tetragonal
- Energy above the most stable polymorph in this dataset: 2.34 eV/f.u.
- Total magnetization: 0.000 μB/atom
- D(E_F): 1.7 states/eV/f.u.



3.
Entry from Alexandria: an optimized crystal structure of Be2WAu (PBE).

```
Be2WAu
1.0
2.807 0.000 0.000
0.000 2.807 0.000
0.000 0.000 6.341
Be W Au
2 1 1
Direct
0.000 0.000 0.000 Be
0.500 0.500 0.167 Be
0.000 0.000 0.418 W
0.500 0.500 0.765 Au
```

## Properties
- Calculated volume: 50 Å³/f.u.
- Energy: -5.82 eV/atom
- SG: P4mm, No. 99
- Crystal system: tetragonal
- Energy above the most stable polymorph in this dataset: 0.00 eV/f.u.
- Total magnetization: 0.000 μB/atom
- D(E_F): 2.0 states/eV/f.u.
- Energy of formation: 0.1054 eV/atom



4.
Entry from Alexandria: an optimized crystal structure of TiPN3 (PBE).

```
TiPN3
1.0
-2.074 2.074 6.889
2.074 -2.074 6.889
2.074 2.074 -6.889
Ti P N
2 2 6
Direct
0.000 0.000 0.000 Ti
0.750 0.250 0.500 Ti
0.173 0.673 0.500 P
0.327 0.827 0.500 P
0.280 0.280 0.000 N
0.442 0.092 0.351 N
0.720 0.720 0.000 N
0.741 0.092 0.649 N
0.908 0.259 0.351 N
0.908 0.558 0.649 N
```

## Properties
- Calculated volume: 59 Å³/f.u.
- Energy: -7.50 eV/atom
- Formation energy (no corrections): 0.161 eV per atom
- SG: I-4m2, No. 119
- Crystal system: tetragonal
- Total magnetization: 0.000 μB/atom
- D(E_F): 1.6 states/eV/f.u.



5.
Entry from Alexandria: an optimized crystal structure of LiAc2InPt6 (PBE).

```
LiAc2InPt6
1.0
6.310 -2.768 0.000
6.310 2.768 0.000
-6.112 0.000 6.320
Li Ac In Pt
1 2 1 6
Direct
0.000 0.000 0.000 Li
0.259 0.259 0.713 Ac
0.741 0.741 0.287 Ac
0.500 0.500 0.500 In
0.243 0.756 0.755 Pt
0.244 0.757 0.245 Pt
0.248 0.248 0.076 Pt
0.752 0.752 0.924 Pt
0.756 0.243 0.755 Pt
0.757 0.244 0.245 Pt
```

## Properties
- Calculated volume: 221 Å³/f.u.
- Energy: -5.67 eV/atom
- SG: C2/m, No. 12
- Crystal system: monoclinic
- Total magnetization: 0.000 μB/atom
- D(E_F): 4.0 states/eV/f.u.
- Energy of formation: -0.7607 eV/atom



6.
Entry from Alexandria: an optimized crystal structure of ZrSb2Se (PBE).

```
ZrSb2Se
1.0
7.230 0.000 0.000
0.000 7.230 0.000
0.000 0.000 7.230
Zr Sb Se
4 8 4
Direct
0.000 0.000 0.000 Zr
0.000 0.500 0.500 Zr
0.500 0.000 0.500 Zr
0.500 0.500 0.000 Zr
0.000 0.000 0.500 Sb
0.000 0.500 0.000 Sb
0.250 0.250 0.250 Sb
0.250 0.750 0.750 Sb
0.500 0.000 0.000 Sb
0.500 0.500 0.500 Sb
0.750 0.250 0.750 Sb
0.750 0.750 0.250 Sb
0.250 0.250 0.750 Se
0.250 0.750 0.250 Se
0.750 0.250 0.250 Se
0.750 0.750 0.750 Se
```

## Properties
- Calculated volume: 94 Å³/f.u.
- Energy: -5.15 eV/atom
- Formation energy (no corrections): -0.083 eV per atom
- SG: F-43m, No. 216
- Crystal system: cubic
- Total magnetization: 0.000 μB/atom
- D(E_F): 5.1 states/eV/f.u.